5
Lattice="-2.6599 3.9169 -1.5047 -2.7386 -2.8861 -2.6717 -3.0898 -0.6231 3.8401" Properties=species:S:1:pos:R:3 comment="LiSc2HgIr (PBE, relaxed)" relative_energy_kj_per_mol_fu=0.0 total_magnetization_mub_per_fu=0.00 energy_ev_per_fu=-24.79 pbc="T T T"
Sc -1.3300 1.9584 -0.7523
Sc -1.5449 -0.3115 1.9201
Hg -4.2441 0.2039 -0.1682
Li -1.3693 -1.4431 -1.3359
Ir 0.0000 0.0000 0.0000

=====

9
Lattice="-4.4309 0.6687 -2.5830 2.4140 -1.1282 -4.4330 -2.5338 -11.1542 1.4590" Properties=species:S:1:pos:R:3 comment="RbSn2Pb6 (PBE, relaxed)" total_magnetization_mub_per_fu=0.00 energy_ev_per_fu=-31.68 pbc="T T T"
Pb -2.2753 -5.8069 -2.7785
Pb -1.2669 -5.5771 0.7295
Pb -0.5900 -8.4748 -1.1817
Pb 0.4702 -3.8076 -1.7922
Pb -2.9522 -2.9092 -0.8672
Pb -4.0124 -7.5763 -0.2567
Rb 0.0000 0.0000 0.0000
Sn -1.3309 -1.6493 -3.3223
Sn -3.2198 -9.9644 -2.2346

=====

6
Lattice="3.8839 0.0000 0.0000 -1.9420 3.8456 0.0960 0.0000 -1.8813 6.9301" Properties=species:S:1:pos:R:3 comment="PmCuC (PBE, relaxed)" total_magnetization_mub_per_fu=0.00 energy_ev_per_fu=-18.58 pbc="T T T"
Cu 1.9420 0.2733 3.3731
Cu 0.0000 1.6910 3.6530
C 1.9420 0.5603 0.3584
C 0.0000 1.4040 6.6677
Pm 1.9420 2.7172 1.5088
Pm 0.0000 -0.7529 5.5173